(1)
# PBE-GGA YMoW2, relaxed
# Energy above the most stable polymorph in this dataset in meV/atom: 281
data_YMoW2
_chemical_formula_sum 'Y3 Mo3 W6'
_symmetry_space_group_name_H-M 'R -3 m'
_symmetry_Int_Tables_number 166
_symmetry_space_group_name_Hall '-R 3 2"'
_cell_length_a 3.0632
_cell_length_b 3.0632
_cell_length_c 27.7073
_cell_angle_alpha 90.00
_cell_angle_beta 90.00
_cell_angle_gamma 120.00
loop_
_atom_site_label
_atom_site_fract_x
_atom_site_fract_y
_atom_site_fract_z
Y1 0.0000 0.0000 0.0000
Mo1 0.0000 0.0000 0.5000
W1 0.0000 0.0000 0.2399


(2)
# PBE-GGA YMoW, relaxed
# Energy above the most stable polymorph in this dataset in meV/atom: 148
data_YMoW
_chemical_formula_sum 'Y2 Mo2 W2'
_symmetry_space_group_name_H-M 'I 4 m m'
_symmetry_Int_Tables_number 107
_symmetry_space_group_name_Hall 'I 4 -2'
_cell_length_a 3.2979
_cell_length_b 3.2979
_cell_length_c 10.9326
_cell_angle_alpha 90.00
_cell_angle_beta 90.00
_cell_angle_gamma 90.00
loop_
_atom_site_label
_atom_site_fract_x
_atom_site_fract_y
_atom_site_fract_z
Y1 0.0000 0.0000 0.0000
Mo1 0.0000 0.0000 0.3094
W1 0.0000 0.0000 0.6925


Number 1: total moment 0.00 Bohr magnetons per cell, Fermi-level density of states 11.5 states/eV/cell. Number 2: total moment 0.00 Bohr magnetons per cell, Fermi-level density of states 7.0 states/eV/cell.